Record 1
Below is crystalline Ga2Bi2Te at its relaxed geometry, with properties calculated at the GGA-PBE level.

The space group is P4/mbm (No. 127) and the conventional cell measures 9.131, 9.131 and 3.378 Å, with angles of 90.00, 90.00 and 90.00 degrees. The asymmetric unit holds Ga at (0.111, 0.389, 0.000), Bi at (0.186, 0.686, 0.500) and Te at (0.000, 0.000, 0.500).

Its electronic total energy is -3.32 eV/atom. The value obtained for the energy relative to the lowest polymorph listed for this composition is 12.6 meV per atom. As for the calculated density: 8.08 g/cm3. The calculation puts the calculated volume at 28.17 A^3/atom. The density of states at the Fermi level is 4.0 states/eV/cell.



Record 2
Below is crystalline Ga2Bi2Te at its relaxed geometry, with properties calculated at the GGA-PBE level.

The space group is I4/mmm (No. 139) and the conventional cell measures 4.089, 4.089 and 16.460 Å, with angles of 90.00, 90.00 and 90.00 degrees. The asymmetric unit holds Ga at (0.000, 0.500, 0.250), Bi at (0.000, 0.000, 0.115) and Te at (0.000, 0.000, 0.500).

Its electronic total energy is -3.34 eV/atom. The value obtained for the energy relative to the lowest polymorph listed for this composition is 0.0 meV per atom. As for the calculated density: 8.27 g/cm3. The calculation puts the calculated volume at 27.52 A^3/atom. The density of states at the Fermi level is 6.0 states/eV/cell.



Record 3
Below is crystalline GaBi2Te at its relaxed geometry, with properties calculated at the GGA-PBE level.

The space group is Fm-3m (No. 225) and the conventional cell measures 7.703, 7.703 and 7.703 Å, with angles of 90.00, 90.00 and 90.00 degrees. The asymmetric unit holds Ga at (0.000, 0.000, 0.000), Bi at (0.250, 0.250, 0.250) and Te at (0.000, 0.000, 0.500).

Its electronic total energy is -3.32 eV/atom. The value obtained for the energy relative to the lowest polymorph listed for this composition is 0.0 meV per atom. As for the calculated density: 8.94 g/cm3. The calculation puts the calculated volume at 28.56 A^3/atom. The density of states at the Fermi level is 10.3 states/eV/cell.



Number 1: M_tot 0.00 μB/f.u.. Number 2: M_tot 0.00 μB/f.u.. Number 3: M_tot 0.00 μB/f.u..